No. 1
## ZnTe2AuI (PBE)

Data for a relaxed structure of ZnTe2AuI.

Structure (CIF):
```
data_ZnTe2AuI
_cell_length_a 5.520
_cell_length_b 5.520
_cell_length_c 5.611
_cell_angle_alpha 90.00
_cell_angle_beta 90.00
_cell_angle_gamma 90.00
_symmetry_space_group_name_H-M 'P 1'
_symmetry_Int_Tables_number 1
_symmetry_space_group_name_Hall 'P 1'
loop_
_atom_site_label
_atom_site_type_symbol
_atom_site_fract_x
_atom_site_fract_y
_atom_site_fract_z
Au1 Au 0.000 0.000 0.000
I1 I 0.000 0.000 0.500
Zn1 Zn 0.500 0.500 0.500
Te1 Te 0.000 0.500 0.000
Te2 Te 0.500 0.000 0.000
```

Calculated values
The value obtained for the total energy is -1.969 eV per atom. As for the space-group type: P4/mmm. As for the distance to the lowest polymorph of the same formula: 0.000 eV per atom. The formation energy from raw total energies comes out at 0.51 eV per atom. The size of the total moment comes out at 0.0 μB per formula unit. Its volume is 34.20 Å³ per atom.



No. 2
## YTaTc2 (PBE)

Data for a relaxed structure of YTaTc2.

Structure (CIF):
```
data_YTaTc2
_cell_length_a 8.745
_cell_length_b 8.745
_cell_length_c 8.745
_cell_angle_alpha 20.87
_cell_angle_beta 20.87
_cell_angle_gamma 20.87
_symmetry_space_group_name_H-M 'P 1'
_symmetry_Int_Tables_number 1
_symmetry_space_group_name_Hall 'P 1'
loop_
_atom_site_label
_atom_site_type_symbol
_atom_site_fract_x
_atom_site_fract_y
_atom_site_fract_z
Tc1 Tc 0.008 0.008 0.008
Tc2 Tc 0.492 0.492 0.492
Y1 Y 0.250 0.250 0.250
Ta1 Ta 0.750 0.750 0.750
```

Calculated values
The value obtained for the total energy is -9.576 eV per atom. Its formation energy is 0.186 eV/atom. As for the space-group type: R-3m. The size of the total moment comes out at 0.0 μB per formula unit. Its volume is 18.58 Å³ per atom.



No. 3
## UTi2Ge (PBE)

Data for a relaxed structure of UTi2Ge.

Structure (CIF):
```
data_UTi2Ge
_cell_length_a 4.616
_cell_length_b 4.616
_cell_length_c 4.616
_cell_angle_alpha 60.00
_cell_angle_beta 60.00
_cell_angle_gamma 60.00
_symmetry_space_group_name_H-M 'P 1'
_symmetry_Int_Tables_number 1
_symmetry_space_group_name_Hall 'P 1'
loop_
_atom_site_label
_atom_site_type_symbol
_atom_site_fract_x
_atom_site_fract_y
_atom_site_fract_z
Ti1 Ti 0.750 0.750 0.750
Ti2 Ti 0.250 0.250 0.250
Ge1 Ge 0.500 0.500 0.500
U1 U 0.000 0.000 0.000
```

Calculated values
The value obtained for the total energy is -7.987 eV per atom. Its formation energy is -0.063 eV/atom. As for the space-group type: Fm-3m. As for the distance to the lowest polymorph of the same formula: 0.161 eV per atom. The size of the total moment comes out at 1.8 μB per formula unit. Its volume is 17.38 Å³ per atom.